(1)
The following is a PBE calculation of crystalline HoWC at its relaxed geometry, from the Alexandria database.

Lattice parameters (Å, degrees): 9.536 11.006 7.024 90.00 90.00 90.00
Space group Fdd2 (No. 43)
Inequivalent atoms, fractional coordinates:
Ho (0.124, 0.125, 0.000)
W (0.000, 0.129, 0.376)
C (0.080, 0.250, 0.626)

Properties
As for the crystal system: orthorhombic. The calculation puts the polymorph energy (0 for the lowest one) at 0.0 meV per atom. As for the formation energy: 0.1373 eV per atom.

***

(2)
The following is a PBE calculation of crystalline HgAs2Pb2 at its relaxed geometry, from the Alexandria database.

Lattice parameters (Å, degrees): 5.380 5.380 10.445 90.00 90.00 90.00
Space group I4/mmm (No. 139)
Inequivalent atoms, fractional coordinates:
Hg (0.000, 0.000, 0.000)
As (0.000, 0.000, 0.382)
Pb (0.000, 0.500, 0.250)

Properties
As for the crystal system: tetragonal. The calculation puts the polymorph energy (0 for the lowest one) at 0.0 meV per atom. As for the formation energy: 0.0346 eV per atom.

***

(3)
The following is a PBE calculation of crystalline ReHg2W at its relaxed geometry, from the Alexandria database.

Lattice parameters (Å, degrees): 2.9247 2.9247 28.8652 90.00 90.00 120.00
Space group R-3m (No. 166, hexagonal axes)
Inequivalent atoms, fractional coordinates:
Re (0.0000, 0.0000, 0.0000)
Hg (0.0000, 0.0000, 0.2506)
W (0.0000, 0.0000, 0.5000)

Properties
As for the crystal system: trigonal. The calculation puts the polymorph energy (0 for the lowest one) at 403.4 meV per atom. As for the formation energy: 0.9038 eV per atom.

***

(4)
The following is a PBE calculation of crystalline TlC3 at its relaxed geometry, from the Alexandria database.

Lattice parameters (Å, degrees): 3.915 4.622 4.688 81.43 66.21 68.44
Space group P-1 (No. 2)
Inequivalent atoms, fractional coordinates:
Tl (0.000, 0.000, 0.000)
C (0.166, 0.500, 0.501)
C (0.500, 0.500, 0.500)

Properties
As for the crystal system: triclinic. The calculation puts the polymorph energy (0 for the lowest one) at 0.0 meV per atom. As for the formation energy: 0.7799 eV per atom.

***

(5)
The following is a PBE calculation of crystalline CrTe2Ir at its relaxed geometry, from the Alexandria database.

Lattice parameters (Å, degrees): 4.0374 4.0374 24.2467 90.00 90.00 120.00
Space group R-3m (No. 166, hexagonal axes)
Inequivalent atoms, fractional coordinates:
Cr (0.0000, 0.0000, 0.0000)
Te (0.0000, 0.0000, 0.1121)
Ir (0.0000, 0.0000, 0.5000)

Properties
As for the crystal system: trigonal. The calculation puts the polymorph energy (0 for the lowest one) at 327.1 meV per atom. The value obtained for the formation energy from raw total energies is 0.2552 eV per atom.

***

(6)
The following is a PBE calculation of crystalline Dy12ErSc5 at its relaxed geometry, from the Alexandria database.

Lattice parameters (Å, degrees): 6.030 10.438 16.887 90.00 96.82 90.00
Space group C2/m (No. 12)
Inequivalent atoms, fractional coordinates:
Dy (0.113, 0.000, 0.338)
Dy (0.113, 0.333, 0.339)
Dy (0.219, 0.500, 0.165)
Dy (0.224, 0.168, 0.165)
Er (0.000, 0.000, 0.000)
Sc (0.000, 0.166, 0.500)
Sc (0.000, 0.333, 0.000)
Sc (0.000, 0.500, 0.500)

Properties
As for the crystal system: monoclinic. As for the formation energy: 0.0340 eV per atom.

***

(7)
The following is a PBE calculation of crystalline SrLiCu3 at its relaxed geometry, from the Alexandria database.

Lattice parameters (Å, degrees): 6.344 12.453 4.684 90.00 90.00 90.00
Space group Cmcm (No. 63)
Inequivalent atoms, fractional coordinates:
Sr (0.000, 0.114, 0.250)
Li (0.000, 0.500, 0.000)
Cu (0.000, 0.300, 0.750)
Cu (0.193, 0.334, 0.250)

Properties
As for the crystal system: orthorhombic. The calculation puts the polymorph energy (0 for the lowest one) at 0.0 meV per atom. As for the formation energy: 0.0193 eV per atom.

***

(8)
The following is a PBE calculation of crystalline NdSmHo2Er2 at its relaxed geometry, from the Alexandria database.

Lattice parameters (Å, degrees): 6.565 17.747 3.391 90.00 90.00 90.00
Space group Pnnm (No. 58)
Inequivalent atoms, fractional coordinates:
Nd (0.000, 0.000, 0.000)
Sm (0.000, 0.500, 0.000)
Ho (0.226, 0.185, 0.000)
Er (0.225, 0.350, 0.500)

Properties
As for the crystal system: orthorhombic. As for the formation energy: 0.2813 eV per atom.

***

(9)
The following is a PBE calculation of crystalline SrY2Zn at its relaxed geometry, from the Alexandria database.

Lattice parameters (Å, degrees): 4.938 4.938 9.910 90.00 90.00 90.00
Space group I-4m2 (No. 119)
Inequivalent atoms, fractional coordinates:
Sr (0.000, 0.000, 0.000)
Y (0.000, 0.000, 0.500)
Y (0.000, 0.500, 0.750)
Zn (0.000, 0.500, 0.250)

Properties
As for the crystal system: tetragonal. As for the formation energy: 0.1728 eV per atom.

***

(10)
The following is a PBE calculation of crystalline SrAlBi3 at its relaxed geometry, from the Alexandria database.

Lattice parameters (Å, degrees): 5.573 5.573 5.573 90.00 90.00 90.00
Space group Pm-3m (No. 221)
Inequivalent atoms, fractional coordinates:
Sr (0.000, 0.000, 0.000)
Al (0.500, 0.500, 0.500)
Bi (0.000, 0.500, 0.500)

Properties
As for the crystal system: cubic. The calculation puts the polymorph energy (0 for the lowest one) at 0.0 meV per atom. As for the formation energy: -0.0016 eV per atom.

***

(11)
The following is a PBE calculation of crystalline AcAl2InPd4 at its relaxed geometry, from the Alexandria database.

Lattice parameters (Å, degrees): 4.3496 4.3496 28.7904 90.00 90.00 120.00
Space group R-3m (No. 166, hexagonal axes)
Inequivalent atoms, fractional coordinates:
Ac (0.0000, 0.0000, 0.0000)
Al (0.0000, 0.0000, 0.2388)
In (0.0000, 0.0000, 0.5000)
Pd (0.0000, 0.0000, 0.1229)
Pd (0.0000, 0.0000, 0.4037)

Properties
As for the crystal system: trigonal. As for the formation energy: -0.7147 eV per atom.

***

(12)
The following is a PBE calculation of crystalline CaIr2Ru at its relaxed geometry, from the Alexandria database.

Lattice parameters (Å, degrees): 4.036 4.036 8.027 90.00 90.00 90.00
Space group I4/mmm (No. 139)
Inequivalent atoms, fractional coordinates:
Ca (0.000, 0.000, 0.000)
Ir (0.000, 0.500, 0.250)
Ru (0.000, 0.000, 0.500)

Properties
As for the crystal system: tetragonal. The calculation puts the polymorph energy (0 for the lowest one) at 246.9 meV per atom. As for the formation energy: 0.2595 eV per atom.

***

(13)
The following is a PBE calculation of crystalline LaZn12Ga6 at its relaxed geometry, from the Alexandria database.

Lattice parameters (Å, degrees): 11.3030 11.3030 9.4563 90.00 90.00 120.00
Space group R-3m (No. 166, hexagonal axes)
Inequivalent atoms, fractional coordinates:
La (0.0000, 0.0000, 0.0000)
Zn (0.0000, 0.3924, 0.5000)
Zn (0.0804, 0.1608, 0.2981)
Ga (0.0489, 0.5244, 0.2377)

Properties
As for the crystal system: trigonal. As for the formation energy: 0.0040 eV per atom.

***

(14)
The following is a PBE calculation of crystalline Pm3Pr2HoTm6 at its relaxed geometry, from the Alexandria database.

Lattice parameters (Å, degrees): 6.195 10.726 11.723 90.00 100.11 90.00
Space group C2/m (No. 12)
Inequivalent atoms, fractional coordinates:
Pm (0.000, 0.000, 0.000)
Pm (0.000, 0.333, 0.000)
Pr (0.000, 0.166, 0.500)
Ho (0.000, 0.500, 0.500)
Tm (0.249, 0.500, 0.249)
Tm (0.250, 0.166, 0.250)

Properties
As for the crystal system: monoclinic. As for the formation energy: 0.0179 eV per atom.

***

(15)
The following is a PBE calculation of crystalline AsRuSe2N at its relaxed geometry, from the Alexandria database.

Lattice parameters (Å, degrees): 4.301 4.301 4.206 90.00 90.00 90.00
Space group P4/mmm (No. 123)
Inequivalent atoms, fractional coordinates:
As (0.000, 0.000, 0.000)
Ru (0.500, 0.500, 0.000)
Se (0.000, 0.500, 0.500)
N (0.000, 0.000, 0.500)

Properties
As for the crystal system: tetragonal. The calculation puts the polymorph energy (0 for the lowest one) at 525.8 meV per atom. The value obtained for the formation energy from raw total energies is 1.0063 eV per atom.

***

(16)
The following is a PBE calculation of crystalline TaCrP2 at its relaxed geometry, from the Alexandria database.

Lattice parameters (Å, degrees): 6.014 6.014 6.014 90.00 90.00 90.00
Space group Fm-3m (No. 225)
Inequivalent atoms, fractional coordinates:
Ta (0.000, 0.000, 0.000)
Cr (0.000, 0.000, 0.500)
P (0.250, 0.250, 0.250)

Properties
As for the crystal system: cubic. The calculation puts the polymorph energy (0 for the lowest one) at 378.1 meV per atom. As for the formation energy: -0.2660 eV per atom.

***

(17)
The following is a PBE calculation of crystalline FeCuC at its relaxed geometry, from the Alexandria database.

Lattice parameters (Å, degrees): 3.1345 3.1345 3.9496 90.00 90.00 120.00
Space group P-6m2 (No. 187)
Inequivalent atoms, fractional coordinates:
Fe (0.0000, 0.0000, 0.0000)
Cu (0.3333, 0.6667, 0.5000)
C (0.3333, 0.6667, 0.0000)

Properties
As for the crystal system: hexagonal. The calculation puts the polymorph energy (0 for the lowest one) at 54.6 meV per atom. As for the formation energy: 0.4876 eV per atom.

***

(18)
The following is a PBE calculation of crystalline Ba3Si2 at its relaxed geometry, from the Alexandria database.

Lattice parameters (Å, degrees): 4.213 17.525 5.080 90.00 90.00 90.00
Space group Cmmm (No. 65)
Inequivalent atoms, fractional coordinates:
Ba (0.000, 0.000, 0.000)
Ba (0.000, 0.346, 0.500)
Si (0.000, 0.209, 0.000)

Properties
As for the crystal system: orthorhombic. The value obtained for the formation energy from raw total energies is -0.2868 eV per atom.

***

(19)
The following is a PBE calculation of crystalline LaPaGaHg at its relaxed geometry, from the Alexandria database.

Lattice parameters (Å, degrees): 7.498 7.498 7.498 90.00 90.00 90.00
Space group F-43m (No. 216)
Inequivalent atoms, fractional coordinates:
La (0.000, 0.000, 0.000)
Pa (0.000, 0.000, 0.500)
Ga (0.250, 0.250, 0.250)
Hg (0.250, 0.250, 0.750)

Properties
As for the crystal system: cubic. As for the formation energy: -0.1040 eV per atom.

***

(20)
The following is a PBE calculation of crystalline Sc2TcRh at its relaxed geometry, from the Alexandria database.

Lattice parameters (Å, degrees): 3.489 3.489 5.876 90.00 90.00 90.00
Space group P4mm (No. 99)
Inequivalent atoms, fractional coordinates:
Sc (0.000, 0.000, 0.000)
Sc (0.500, 0.500, 0.342)
Tc (0.000, 0.000, 0.526)
Rh (0.500, 0.500, 0.818)

Properties
As for the crystal system: tetragonal. As for the formation energy: -0.1476 eV per atom.

***

What are the calculated density values for these records? In order: 13.0 8.4 18.0 5.5 7.3 7.4 5.1 8.1 4.5 7.1 8.7 13.3 6.4 8.2 7.4 9.0 6.5 4.1 10.1 6.8 g/cm3.